This record from Alexandria describes a relaxed structure of TbY2Ni6B6C3. The functional is PBEsol.

Density of states at the Fermi level = 0.44 states/eV/atom
Calculated formation energy = -0.56 eV per atom
Final energy = -0.279 hartree per atom

abc: 3.506 3.506 15.623
angles: 96.44 96.44 90.00
Fractional coordinates of all 18 atoms:
Ni (0.250, 0.750, 0.500)
Tb (0.500, 0.500, 0.000)
B (0.382, 0.382, 0.764)
B (0.048, 0.048, 0.097)
B (0.285, 0.285, 0.570)
Ni (0.917, 0.417, 0.833)
Ni (0.750, 0.250, 0.500)
B (0.715, 0.715, 0.430)
C (0.333, 0.333, 0.667)
C (0.000, 0.000, 0.000)
B (0.618, 0.618, 0.236)
Y (0.833, 0.833, 0.667)
Y (0.167, 0.167, 0.333)
C (0.667, 0.667, 0.333)
Ni (0.417, 0.917, 0.833)
Ni (0.083, 0.583, 0.167)
B (0.952, 0.952, 0.903)
Ni (0.583, 0.083, 0.167)